Entry from Alexandria: a PBEsol-optimized structure of TiAs2Ir (SCAN).

```
TiAs2Ir
1.0
4.400 0.000 0.000
2.200 3.811 0.000
2.200 1.270 3.593
As Ir Ti
2 1 1
Direct
0.250 0.250 0.250 As
0.750 0.750 0.750 As
0.500 0.500 0.500 Ir
0.000 0.000 0.000 Ti
```

Summary:
Space-group type ... No. 225
Formation energy ... -0.290 eV per atom

Entry from Alexandria: a PBEsol-optimized structure of LiSiNi2 (SCAN).

```
LiSiNi2
1.0
2.643 0.000 0.000
0.000 3.955 0.000
0.000 0.000 3.955
Ni Si Li
2 1 1
Direct
0.000 0.500 0.625 Ni
0.000 0.000 0.125 Ni
0.500 0.000 0.625 Si
0.500 0.500 0.125 Li
```

Summary:
Energy ... -11.61 eV/atom
Space-group type ... No. 123

Entry from Alexandria: a PBEsol-optimized structure of NaTc2AgIr (SCAN).

```
NaTc2AgIr
1.0
4.876 0.000 0.000
0.000 4.866 0.000
0.000 0.000 4.866
Tc Na Ag Ir
2 1 1 1
Direct
0.000 0.500 0.000 Tc
0.000 0.000 0.500 Tc
0.500 0.500 0.500 Na
0.000 0.000 0.000 Ag
0.500 0.000 0.000 Ir
```

Summary:
Space-group type ... No. 123
Formation energy ... 2.171 eV per atom

Entry from Alexandria: a PBEsol-optimized structure of SrTc2Os (SCAN).

```
SrTc2Os
1.0
-1.915 1.582 -1.294
-2.550 -1.035 -0.523
-4.635 3.522 8.133
Sr Tc Os
1 2 1
Direct
0.000 0.000 0.000 Sr
0.238 0.238 0.287 Tc
0.762 0.762 0.713 Tc
0.500 0.500 0.500 Os
```

Summary:
Space-group type ... No. 166
Formation energy ... 0.868 eV per atom
Distance to the lowest polymorph of the same formula ... 0.0000 eV per atom

| no. | calculated volume (Å³ per cell) |
| --- | --- |
| 1 | 60.2 |
| 2 | 41.3 |
| 3 | 115.5 |
| 4 | 67.1 |